Model i:
Density functional theory data (PBE-GGA) for a relaxed BaAg2Rh crystal.

Cell lengths 5.820, 5.820, 5.820 Å; angles 137.19, 137.19, 62.14 degrees
Fractional positions:
Rh 0.000 0.000 0.000
Ag 0.750 0.250 0.500
Ba 0.500 0.500 0.000
Ag 0.250 0.750 0.500



Model ii:
Density functional theory data (PBE-GGA) for a relaxed BaAg2Rh crystal.

Cell lengths 6.159, 6.159, 5.006 Å; angles 66.14, 66.14, 32.19 degrees
Fractional positions:
Ag 0.216 0.216 0.784
Rh 0.500 0.500 0.000
Ba 0.000 0.000 0.500
Ag 0.784 0.784 0.216



Relative to the most stable structure, the computed energies are model i 5.3; model ii 0.0, all in kJ/mol of atoms.



Model i:
Density functional theory data (PBE-GGA) for a relaxed B2C crystal.

Cell lengths 5.739, 5.739, 5.537 Å; angles 87.25, 87.25, 27.25 degrees
Fractional positions:
B 0.980 0.980 0.455
B 0.379 0.379 0.547
C 0.429 0.429 0.004
C 0.752 0.752 0.881
B 0.706 0.706 0.164
C 0.114 0.114 0.575
B 0.968 0.968 0.114
B 0.649 0.649 0.698
B 0.242 0.242 0.381
C 0.331 0.331 0.836
B 0.842 0.842 0.341
B 0.108 0.108 0.253



Model ii:
Density functional theory data (PBE-GGA) for a relaxed B2C crystal.

Cell lengths 5.255, 5.357, 5.145 Å; angles 65.00, 97.57, 131.85 degrees
Fractional positions:
B 0.619 0.804 0.665
B 0.054 0.531 0.495
C 0.380 0.882 0.530
B 0.415 0.461 0.499
B 0.449 0.855 0.207
C 0.005 0.151 0.656
C 0.037 0.016 0.969
B 0.422 0.362 0.960
B 0.627 0.706 0.126
B 0.593 0.312 0.418
B 0.988 0.636 0.130
C 0.662 0.285 0.095



Relative to the most stable structure, the computed energies are model i 0.0; model ii 22.9, all in kJ/mol of atoms.



Model i:
Density functional theory data (PBE-GGA) for a relaxed BC2 crystal.

Cell lengths 4.671, 4.671, 5.319 Å; angles 110.53, 110.53, 45.48 degrees
Fractional positions:
C 0.259 0.756 0.742
B 0.002 0.998 0.000
C 0.583 0.063 0.916
C 0.002 0.001 0.503
C 0.234 0.759 0.262
C 0.666 0.665 0.830
B 0.331 0.335 0.667
C 0.911 0.408 0.592
B 0.333 0.334 0.167
B 0.669 0.665 0.333
C 0.603 0.084 0.417
C 0.908 0.433 0.072



Model ii:
Density functional theory data (PBE-GGA) for a relaxed BC2 crystal.

Cell lengths 4.555, 4.368, 5.275 Å; angles 101.43, 102.50, 47.98 degrees
Fractional positions:
C 0.264 0.734 0.739
C 0.006 0.022 0.526
B 0.302 0.717 0.295
C 0.899 0.413 0.078
C 0.648 0.666 0.834
B 0.606 0.103 0.417
C 0.319 0.349 0.677
B 0.978 0.981 0.000
B 0.281 0.366 0.122
C 0.684 0.671 0.338
C 0.935 0.417 0.582
C 0.577 0.061 0.890



Relative to the most stable structure, the computed energies are model i 1.2; model ii 0.0, all in kJ/mol of atoms.